Entry 1:
CsHg2Cl4: relaxed, PBE-GGA.

CIF file:
```
data_CsHg2Cl4
_cell_length_a 6.282
_cell_length_b 6.282
_cell_length_c 7.957
_cell_angle_alpha 90.00
_cell_angle_beta 90.00
_cell_angle_gamma 90.00
_symmetry_space_group_name_H-M 'P -4 2 m'
_symmetry_Int_Tables_number 111
loop_
_symmetry_equiv_pos_as_xyz
'x,y,z'
'y,-x,-z'
'-x,-y,z'
'-y,x,-z'
'x,-y,-z'
'y,x,z'
'-x,y,-z'
'-y,-x,z'
loop_
_atom_site_label
_atom_site_fract_x
_atom_site_fract_y
_atom_site_fract_z
_atom_site_occupancy
Cs1 0.000 0.000 0.000 1
Hg1 0.000 0.500 0.500 1
Cl1 0.264 0.264 0.313 1
```



Entry 2:
CdSbAu4: relaxed, PBE-GGA.

CIF file:
```
data_CdSbAu4
_cell_length_a 8.817
_cell_length_b 5.266
_cell_length_c 5.169
_cell_angle_alpha 90.00
_cell_angle_beta 90.45
_cell_angle_gamma 90.00
_symmetry_space_group_name_H-M 'C 1 2/m 1'
_symmetry_Int_Tables_number 12
loop_
_symmetry_equiv_pos_as_xyz
'x,y,z'
'-x,-y,-z'
'-x,y,-z'
'x,-y,z'
'x+1/2,y+1/2,z'
'-x+1/2,-y+1/2,-z'
'-x+1/2,y+1/2,-z'
'x+1/2,-y+1/2,z'
loop_
_atom_site_label
_atom_site_fract_x
_atom_site_fract_y
_atom_site_fract_z
_atom_site_occupancy
Cd1 0.000 0.000 0.000 1
Sb1 0.000 0.500 0.500 1
Au1 0.165 0.000 0.499 1
Au2 0.171 0.500 0.001 1
```



Entry 3:
# La6TbPr4 PBE-GGA relaxed
# Calculated formation energy   24 kJ per mole of atoms
data_La6TbPr4
_cell_length_a 7.046
_cell_length_b 7.046
_cell_length_c 16.457
_cell_angle_alpha 90.00
_cell_angle_beta 90.00
_cell_angle_gamma 90.00
_symmetry_space_group_name_H-M 'I -4 2 m'
_symmetry_Int_Tables_number 121
_symmetry_space_group_name_Hall 'I -4 2'
loop_
_atom_site_label
_atom_site_fract_x
_atom_site_fract_y
_atom_site_fract_z
_atom_site_occupancy
La1 0.000 0.500 0.000 1
La2 0.187 0.187 0.182 1
Tb1 0.000 0.000 0.000 1
Pr1 0.168 0.168 0.391 1



Entry 4:
RbSbCl4: relaxed, PBE-GGA.

CIF file:
```
data_RbSbCl4
_cell_length_a 10.219
_cell_length_b 7.815
_cell_length_c 10.979
_cell_angle_alpha 90.00
_cell_angle_beta 102.04
_cell_angle_gamma 90.00
_symmetry_space_group_name_H-M 'P 1 21/c 1'
_symmetry_Int_Tables_number 14
loop_
_symmetry_equiv_pos_as_xyz
'x,y,z'
'-x,-y,-z'
'-x,y+1/2,-z+1/2'
'x,-y+1/2,z+1/2'
loop_
_atom_site_label
_atom_site_fract_x
_atom_site_fract_y
_atom_site_fract_z
_atom_site_occupancy
Rb1 0.181 0.240 0.412 1
Sb1 0.319 0.707 0.200 1
Cl1 0.109 0.520 0.170 1
Cl2 0.173 0.534 0.638 1
Cl3 0.336 0.644 0.985 1
Cl4 0.447 0.109 0.786 1
```



Relative energy among the computed polymorphs values (in meV/atom) by entry order: 153; 0; 18; 0.
Spin magnetization values (in μB per atom) by entry order: 0.00; 0.00; 0.00; 0.00.